A plane-wave DFT calculation with PBEsol was carried out for an optimized crystal structure of TeAs3Os.

Values from the calculation:
- Total moment: 0.352 μB/atom
- Uncorrected formation energy: 2190 meV/atom
- D(E_F): 1.4743 states/eV per atom
- Crystal system: cubic

Unit cell a=5.0651 b=5.0651 c=5.0651 alpha=90.00 beta=90.00 gamma=90.00
Fractional coordinates of all 5 atoms:
As (0.0000, 0.5000, 0.0000)
As (0.0000, 0.0000, 0.5000)
As (0.5000, 0.0000, 0.0000)
Te (0.0000, 0.0000, 0.0000)
Os (0.5000, 0.5000, 0.5000)